No. 1
VASP calculation (PBE-GGA) on NbCoIrRh after structural relaxation.

Results
Mass density, Mg/m³: 13.11
E, hartree per atom: -0.322
Total magnetization, μB/f.u.: 0.0
ΔH_f (0 K), kJ/mol of atoms: -39.7
Fermi-level density of states, states/eV/f.u.: 2.86

a b c (Å): 3.805 3.861 3.854
angles (deg): 90.00 90.00 90.00
Element x y z (fractional)
Co  0.500  0.500  0.000
Ir  0.000  0.000  0.000
Nb  0.500  0.000  0.500
Rh  0.000  0.500  0.500

=====

No. 2
VASP calculation (PBE-GGA) on Be3CoP after structural relaxation.

Results
Mass density, Mg/m³: 3.19
E, hartree per atom: -0.147
Total magnetization, μB/f.u.: 0.0
ΔH_f (0 K), kJ/mol of atoms: 70.9
Fermi-level density of states, states/eV/f.u.: 2.00

a b c (Å): 3.936 3.936 3.936
angles (deg): 90.00 90.00 90.00
Element x y z (fractional)
Be  0.500  0.000  0.000
Be  0.000  0.500  0.000
Be  0.000  0.000  0.500
P  0.500  0.500  0.500
Co  0.000  0.000  0.000

=====

No. 3
VASP calculation (PBE-GGA) on TaSn2H2O6 after structural relaxation.

Results
Mass density, Mg/m³: 7.19
E, hartree per atom: -0.233
Total magnetization, μB/f.u.: 0.0
Fermi-level density of states, states/eV/f.u.: 3.01

a b c (Å): 5.194 5.194 5.920
angles (deg): 63.98 63.98 60.00
Element x y z (fractional)
Ta  0.000  0.000  0.000
O  0.744  0.744  0.250
O  0.256  0.739  0.750
O  0.744  0.261  0.250
O  0.261  0.744  0.250
O  0.256  0.256  0.750
O  0.739  0.256  0.750
Sn  0.211  0.211  0.368
Sn  0.789  0.789  0.632
H  0.582  0.582  0.255
H  0.418  0.418  0.745